[1]
ZnSnPS2 | PBE | optimized geometry

Properties
The uncorrected formation energy is 734 meV/atom. The calculation puts the density of states at the Fermi level at 0.866 states/eV per atom. The energy is -3.055 eV/atom. For the total magnetization, the calculation gives 1.2 μB per cell. The value obtained for the energy above the most stable polymorph in this dataset is 333 meV/atom.

Cell lengths 4.9906, 4.9906, 5.1893 Å; angles 90.00, 90.00, 90.00 degrees
Space group P4/mmm (No. 123)
One atom of each set of equivalent atoms:
Zn 0.0000 0.0000 0.0000 [1 per cell]
Sn 0.5000 0.5000 0.5000 [1 per cell]
P 0.5000 0.5000 0.0000 [1 per cell]
S 0.0000 0.5000 0.5000 [2 per cell]



[2]
TmSc2Ga2 | PBE | optimized geometry

Properties
The value obtained for the formation energy is -0.479 eV per atom. The calculation puts the density of states at the Fermi level at 0.801 states/eV per atom. The energy is -5.117 eV/atom. For the total magnetization, the calculation gives 0.0 μB per cell. The value obtained for the energy above the most stable polymorph in this dataset is 0 meV/atom.

Cell lengths 3.4526, 4.8899, 12.6903 Å; angles 90.00, 97.83, 90.00 degrees
Space group P2_1/m (No. 11)
One atom of each set of equivalent atoms:
Tm 0.1450 0.2500 0.2904 [2 per cell]
Sc 0.0495 0.7500 0.0985 [2 per cell]
Sc 0.2357 0.7500 0.4714 [2 per cell]
Ga 0.3548 0.2500 0.7102 [2 per cell]
Ga 0.4553 0.7500 0.9105 [2 per cell]



[3]
ScMn2Ni | PBE | optimized geometry

Properties
The value obtained for the formation energy is 0.168 eV per atom. The calculation puts the density of states at the Fermi level at 1.309 states/eV per atom. The energy is -7.445 eV/atom. For the total magnetization, the calculation gives 10.3 μB per cell.

Cell lengths 5.1590, 8.7027, 2.7331 Å; angles 90.00, 114.77, 90.00 degrees
Space group C2/m (No. 12)
One atom of each set of equivalent atoms:
Sc 0.0000 0.0000 0.0000 [2 per cell]
Mn 0.2500 0.2500 0.5000 [4 per cell]
Ni 0.0000 0.5000 0.0000 [2 per cell]



[4]
LaZn3Ru | PBE | optimized geometry

Properties
The value obtained for the formation energy is -0.122 eV per atom. The calculation puts the density of states at the Fermi level at 0.805 states/eV per atom. The energy is -3.727 eV/atom. For the total magnetization, the calculation gives 0.0 μB per cell. The value obtained for the energy above the most stable polymorph in this dataset is 117 meV/atom.

Cell lengths 4.7865, 4.7865, 4.7865 Å; angles 90.00, 90.00, 90.00 degrees
Space group Pm-3m (No. 221)
One atom of each set of equivalent atoms:
La 0.0000 0.0000 0.0000 [1 per cell]
Zn 0.0000 0.5000 0.5000 [3 per cell]
Ru 0.5000 0.5000 0.5000 [1 per cell]